Record 1
Here is a crystal of InPCl2 relaxed with PBEsol from the Alexandria database. Energies are from SCAN.

Values from the calculation:
Its energy is -58.93 eV for the cell shown. Its excess energy over the best structure of this formula in the dataset is 0 meV/atom. The value obtained for the formation energy (no corrections) is 0.20 eV per atom.

Cell: 3.227 3.227 9.093 Å, 79.78 79.78 60.00°
Atoms (fractional coordinates):
Cl: 0.257 0.257 0.229
Cl: 0.743 0.743 0.771
In: 0.500 0.500 0.500
P: 0.000 0.000 0.000

***

Record 2
Here is a crystal of In2PCl relaxed with PBEsol from the Alexandria database. Energies are from SCAN.

Values from the calculation:
Its energy is -85.74 eV for the cell shown. Its excess energy over the best structure of this formula in the dataset is 73 meV/atom. The value obtained for the formation energy (no corrections) is -0.15 eV per atom.

Cell: 4.910 4.910 4.910 Å, 60.00 60.00 60.00°
Atoms (fractional coordinates):
Cl: 0.500 0.500 0.500
In: 0.250 0.250 0.250
In: 0.750 0.750 0.750
P: 0.000 0.000 0.000

***

Record 3
Here is a crystal of InPCl2 relaxed with PBEsol from the Alexandria database. Energies are from SCAN.

Values from the calculation:
Its energy is -58.59 eV for the cell shown. Its excess energy over the best structure of this formula in the dataset is 83 meV/atom. The value obtained for the formation energy (no corrections) is 0.29 eV per atom.

Cell: 4.313 4.313 5.251 Å, 114.25 114.25 90.00°
Atoms (fractional coordinates):
Cl: 0.750 0.250 0.500
Cl: 0.250 0.750 0.500
In: 0.500 0.500 0.000
P: 0.000 0.000 0.000

***

Record 4
Here is a crystal of InPPbCl2 relaxed with PBEsol from the Alexandria database. Energies are from SCAN.

Values from the calculation:
Its energy is -136.23 eV for the cell shown. The value obtained for the formation energy (no corrections) is -0.14 eV per atom.

Cell: 5.327 5.434 5.434 Å, 90.00 90.00 90.00°
Atoms (fractional coordinates):
Pb: 0.000 0.000 0.000
P: 0.500 0.000 0.000
Cl: 0.000 0.000 0.500
Cl: 0.000 0.500 0.000
In: 0.500 0.500 0.500

***

Record 5
Here is a crystal of RbInP2Cl relaxed with PBEsol from the Alexandria database. Energies are from SCAN.

Values from the calculation:
Its energy is -83.19 eV for the cell shown. The value obtained for the formation energy (no corrections) is -0.06 eV per atom.

Cell: 5.003 5.003 5.725 Å, 90.00 90.00 90.00°
Atoms (fractional coordinates):
P: 0.000 0.500 0.000
P: 0.500 0.000 0.000
Cl: 0.000 0.000 0.500
Rb: 0.500 0.500 0.500
In: 0.000 0.000 0.000

***

Record 6
Here is a crystal of InPRuCl2 relaxed with PBEsol from the Alexandria database. Energies are from SCAN.

Values from the calculation:
Its energy is -95.20 eV for the cell shown. The value obtained for the formation energy (no corrections) is -0.13 eV per atom.

Cell: 4.439 4.915 4.915 Å, 90.00 90.00 90.00°
Atoms (fractional coordinates):
Ru: 0.000 0.000 0.000
Cl: 0.000 0.000 0.500
Cl: 0.000 0.500 0.000
P: 0.500 0.000 0.000
In: 0.500 0.500 0.500

***

Record 7
Here is a crystal of InSbP2Cl relaxed with PBEsol from the Alexandria database. Energies are from SCAN.

Values from the calculation:
Its energy is -96.39 eV for the cell shown. The value obtained for the formation energy (no corrections) is 0.61 eV per atom.

Cell: 4.843 5.011 5.011 Å, 90.00 90.00 90.00°
Atoms (fractional coordinates):
Sb: 0.500 0.500 0.500
Cl: 0.500 0.000 0.000
P: 0.000 0.000 0.500
P: 0.000 0.500 0.000
In: 0.000 0.000 0.000

***

Record 8
Here is a crystal of InPSeCl2 relaxed with PBEsol from the Alexandria database. Energies are from SCAN.

Values from the calculation:
Its energy is -79.01 eV for the cell shown. The value obtained for the formation energy (no corrections) is 0.16 eV per atom.

Cell: 4.608 5.285 5.285 Å, 90.00 90.00 90.00°
Atoms (fractional coordinates):
P: 0.500 0.000 0.000
Cl: 0.000 0.000 0.500
Cl: 0.000 0.500 0.000
Se: 0.000 0.000 0.000
In: 0.500 0.500 0.500